5
Lattice="3.611 0.000 0.000 0.000 3.611 0.000 0.000 0.000 4.680" Properties=species:S:1:pos:R:3 comment="ReP2HS | Alexandria via LeMat-Bulk | PBE-GGA | optimized geometry" polymorph_energy_kj_per_mol_fu=8 pbc="T T T"
P 1.806 0.000 0.000
S 0.000 0.000 2.340
P 0.000 1.806 0.000
Re 1.806 1.806 2.340
H 0.000 0.000 0.000

=====

4
Lattice="0.000 3.669 3.669 3.669 0.000 3.669 3.669 3.669 0.000" Properties=species:S:1:pos:R:3 comment="Na2CdGa | Alexandria via LeMat-Bulk | PBE-GGA | optimized geometry" e_form_mev_per_atom=15 pbc="T T T"
Cd 3.669 3.669 3.669
Na 5.504 5.504 5.504
Ga 0.000 0.000 0.000
Na 1.835 1.835 1.835

=====

15
Lattice="7.867 0.000 -0.001 -3.933 6.812 -0.023 0.000 -4.521 6.198" Properties=species:S:1:pos:R:3 comment="Li3Ce3TaS8 | Alexandria via LeMat-Bulk | PBE-GGA | optimized geometry" formation_energy_uncorrected_ev_per_fu=-23.4 pbc="T T T"
S 6.090 -3.281 4.586
S 3.933 2.495 1.598
Li 1.967 3.406 -0.012
S 1.777 -3.281 4.587
S 3.934 0.016 4.719
S 2.156 5.573 1.588
Ce -1.967 1.145 3.087
S -0.001 2.276 1.455
Ce 3.933 -2.261 3.099
Ce 1.966 1.146 3.087
Ta 0.000 -2.261 3.099
S -2.157 5.573 1.588
Li -1.967 3.406 -0.011
S 0.000 -0.204 4.576
Li 0.000 0.000 0.000

=====

6
Lattice="4.072 0.000 0.000 0.000 2.727 0.000 0.000 0.000 7.576" Properties=species:S:1:pos:R:3 comment="FeNiAu | Alexandria via LeMat-Bulk | PBE-GGA | optimized geometry" polymorph_energy_kj_per_mol_fu=36 e_form_mev_per_atom=184 pbc="T T T"
Fe 0.000 1.363 5.747
Ni 0.000 0.000 3.672
Au 2.036 1.363 7.420
Ni 0.000 0.000 1.120
Fe 2.036 0.000 5.033
Au 2.036 1.363 2.596